# 1
This record from the Alexandria database describes crystalline PrY5Rh6 at its relaxed geometry. The functional is PBE.

a b c (Å): 7.703 7.703 6.994
angles (deg): 90.00 90.00 143.19
Positions (direct):
Pr 0.000 0.000 0.000
Y 0.000 0.000 0.500
Y 0.332 0.668 0.000
Y 0.333 0.667 0.500
Y 0.667 0.333 0.500
Y 0.668 0.332 0.000
Rh 0.169 0.831 0.253
Rh 0.169 0.831 0.747
Rh 0.500 0.500 0.257
Rh 0.500 0.500 0.743
Rh 0.831 0.169 0.253
Rh 0.831 0.169 0.747

## Properties
Uncorrected energy = -0.556 Ry per atom
DOS(E_F) = 0.653 states/eV per atom
Calculated formation energy = -0.79 eV/atom
SG = Cmmm (65)


# 2
This record from the Alexandria database describes crystalline Pr2YRh3 at its relaxed geometry. The functional is PBE.

a b c (Å): 7.814 7.814 7.210
angles (deg): 90.00 90.00 143.28
Positions (direct):
Pr 0.000 0.000 0.000
Pr 0.000 0.000 0.500
Pr 0.333 0.667 0.000
Pr 0.667 0.333 0.000
Y 0.332 0.668 0.500
Y 0.668 0.332 0.500
Rh 0.169 0.831 0.261
Rh 0.169 0.831 0.739
Rh 0.500 0.500 0.256
Rh 0.500 0.500 0.744
Rh 0.831 0.169 0.261
Rh 0.831 0.169 0.739

## Properties
Polymorph energy (0 for the lowest one) = 0.000 eV/atom
Uncorrected energy = -0.515 Ry per atom
DOS(E_F) = 0.814 states/eV per atom
Calculated formation energy = -0.66 eV/atom
SG = Cmmm (65)


- DOS(E_F) of number 2 (Pr2YRh3)?
  0.814 states/eV per atom


- The highest uncorrected energy belongs to which entry?
  Pr2YRh3